# 1
The following is a PBE calculation of ZrPaIr2 after structural relaxation, from Alexandria.

```
data_ZrPaIr2
_chemical_formula_sum 'Zr1 Pa1 Ir2'
_symmetry_space_group_name_H-M 'P 4/m m m'
_symmetry_Int_Tables_number 123
_symmetry_space_group_name_Hall '-P 4 2'
_cell_length_a 4.457
_cell_length_b 4.457
_cell_length_c 3.867
_cell_angle_alpha 90.00
_cell_angle_beta 90.00
_cell_angle_gamma 90.00
loop_
_atom_site_label
_atom_site_fract_x
_atom_site_fract_y
_atom_site_fract_z
_atom_site_occupancy
Zr1 0.000 0.000 0.000 1
Pa1 0.500 0.500 0.000 1
Ir1 0.000 0.500 0.500 1
```

excess energy over the best structure of this formula in the dataset = 0.228 eV/atom
M_tot = 0.9 μB/f.u.
energy of formation from the pure elements = -0.64 eV/atom



# 2
The following is a PBE calculation of La5PrSn2 after structural relaxation, from Alexandria.

```
data_La5PrSn2
_chemical_formula_sum 'La20 Pr4 Sn8'
_symmetry_space_group_name_H-M 'C m c m'
_symmetry_Int_Tables_number 63
_symmetry_space_group_name_Hall '-C 2c 2'
_cell_length_a 4.396
_cell_length_b 12.327
_cell_length_c 20.119
_cell_angle_alpha 90.00
_cell_angle_beta 90.00
_cell_angle_gamma 90.00
loop_
_atom_site_label
_atom_site_fract_x
_atom_site_fract_y
_atom_site_fract_z
_atom_site_occupancy
La1 0.000 0.038 0.115 1
La2 0.000 0.359 0.023 1
La3 0.000 0.411 0.750 1
Pr1 0.000 0.315 0.250 1
Sn1 0.000 0.244 0.629 1
```

excess energy over the best structure of this formula in the dataset = 0.106 eV/atom
M_tot = 0.0 μB/f.u.
energy of formation from the pure elements = -0.38 eV/atom



# 3
The following is a PBE calculation of AcLuTlHg after structural relaxation, from Alexandria.

```
data_AcLuTlHg
_chemical_formula_sum 'Ac4 Lu4 Tl4 Hg4'
_symmetry_space_group_name_H-M 'F -4 3 m'
_symmetry_Int_Tables_number 216
_symmetry_space_group_name_Hall 'F -4 2 3'
_cell_length_a 7.839
_cell_length_b 7.839
_cell_length_c 7.839
_cell_angle_alpha 90.00
_cell_angle_beta 90.00
_cell_angle_gamma 90.00
loop_
_atom_site_label
_atom_site_fract_x
_atom_site_fract_y
_atom_site_fract_z
_atom_site_occupancy
Ac1 0.000 0.000 0.000 1
Lu1 0.000 0.000 0.500 1
Tl1 0.250 0.250 0.750 1
Hg1 0.250 0.250 0.250 1
```

M_tot = 0.0 μB/f.u.
energy of formation from the pure elements = -0.34 eV/atom



# 4
The following is a PBE calculation of Hf2PPd after structural relaxation, from Alexandria.

```
data_Hf2PPd
_chemical_formula_sum 'Hf6 P3 Pd3'
_symmetry_space_group_name_H-M 'R -3 m'
_symmetry_Int_Tables_number 166
_symmetry_space_group_name_Hall '-R 3 2"'
_cell_length_a 3.5796
_cell_length_b 3.5796
_cell_length_c 20.5099
_cell_angle_alpha 90.00
_cell_angle_beta 90.00
_cell_angle_gamma 120.00
loop_
_atom_site_label
_atom_site_fract_x
_atom_site_fract_y
_atom_site_fract_z
_atom_site_occupancy
Hf1 0.0000 0.0000 0.2430 1
P1 0.0000 0.0000 0.5000 1
Pd1 0.0000 0.0000 0.0000 1
```

M_tot = 0.0 μB/f.u.
energy of formation from the pure elements = -0.81 eV/atom



# 5
The following is a PBE calculation of La5Nd3In3 after structural relaxation, from Alexandria.

```
data_La5Nd3In3
_chemical_formula_sum 'La5 Nd3 In3'
_symmetry_space_group_name_H-M 'P -6 2 m'
_symmetry_Int_Tables_number 189
_symmetry_space_group_name_Hall 'P -6 -2'
_cell_length_a 11.1310
_cell_length_b 11.1310
_cell_length_c 3.5049
_cell_angle_alpha 90.00
_cell_angle_beta 90.00
_cell_angle_gamma 120.00
loop_
_atom_site_label
_atom_site_fract_x
_atom_site_fract_y
_atom_site_fract_z
_atom_site_occupancy
La1 0.0000 0.6581 0.0000 1
La2 0.3333 0.6667 0.0000 1
Nd1 0.0000 0.1689 0.0000 1
In1 0.0000 0.4125 0.5000 1
```

M_tot = 0.0 μB/f.u.
energy of formation from the pure elements = 0.05 eV/atom



# 6
The following is a PBE calculation of Nd5BS4 after structural relaxation, from Alexandria.

```
data_Nd5BS4
_chemical_formula_sum 'Nd10 B2 S8'
_symmetry_space_group_name_H-M 'I 4/m'
_symmetry_Int_Tables_number 87
_symmetry_space_group_name_Hall '-I 4'
_cell_length_a 9.092
_cell_length_b 9.092
_cell_length_c 5.728
_cell_angle_alpha 90.00
_cell_angle_beta 90.00
_cell_angle_gamma 90.00
loop_
_atom_site_label
_atom_site_fract_x
_atom_site_fract_y
_atom_site_fract_z
_atom_site_occupancy
Nd1 0.000 0.000 0.000 1
Nd2 0.094 0.715 0.500 1
B1 0.000 0.000 0.500 1
S1 0.097 0.699 0.000 1
```

M_tot = 0.0 μB/f.u.
formation energy from raw total energies = -16.74 eV per formula unit



# 7
The following is a PBE calculation of AgP2SeCl after structural relaxation, from Alexandria.

```
data_AgP2SeCl
_chemical_formula_sum 'Ag1 P2 Se1 Cl1'
_symmetry_space_group_name_H-M 'P 4/m m m'
_symmetry_Int_Tables_number 123
_symmetry_space_group_name_Hall '-P 4 2'
_cell_length_a 4.872
_cell_length_b 4.872
_cell_length_c 5.045
_cell_angle_alpha 90.00
_cell_angle_beta 90.00
_cell_angle_gamma 90.00
loop_
_atom_site_label
_atom_site_fract_x
_atom_site_fract_y
_atom_site_fract_z
_atom_site_occupancy
Ag1 0.000 0.000 0.000 1
P1 0.000 0.500 0.500 1
Se1 0.500 0.500 0.500 1
Cl1 0.500 0.500 0.000 1
```

excess energy over the best structure of this formula in the dataset = 0.000 eV/atom
M_tot = 1.1 μB/f.u.
formation energy from raw total energies = 4.63 eV per formula unit



# 8
The following is a PBE calculation of Sc5Ni2As after structural relaxation, from Alexandria.

```
data_Sc5Ni2As
_chemical_formula_sum 'Sc20 Ni8 As4'
_symmetry_space_group_name_H-M 'I 4/m c m'
_symmetry_Int_Tables_number 140
_symmetry_space_group_name_Hall '-I 4 2c'
_cell_length_a 6.836
_cell_length_b 6.836
_cell_length_c 12.897
_cell_angle_alpha 90.00
_cell_angle_beta 90.00
_cell_angle_gamma 90.00
loop_
_atom_site_label
_atom_site_fract_x
_atom_site_fract_y
_atom_site_fract_z
_atom_site_occupancy
Sc1 0.000 0.000 0.000 1
Sc2 0.160 0.340 0.145 1
Ni1 0.132 0.368 0.500 1
As1 0.000 0.000 0.250 1
```

M_tot = 0.0 μB/f.u.
energy of formation from the pure elements = -0.63 eV/atom



# 9
The following is a PBE calculation of TmMg11Al after structural relaxation, from Alexandria.

```
data_TmMg11Al
_chemical_formula_sum 'Tm2 Mg22 Al2'
_symmetry_space_group_name_H-M 'C 1 2/m 1'
_symmetry_Int_Tables_number 12
_cell_length_a 5.825
_cell_length_b 14.386
_cell_length_c 7.658
_cell_angle_alpha 90.00
_cell_angle_beta 111.35
_cell_angle_gamma 90.00
loop_
_symmetry_equiv_pos_as_xyz
'x,y,z'
'-x,-y,-z'
'-x,y,-z'
'x,-y,z'
'x+1/2,y+1/2,z'
'-x+1/2,-y+1/2,-z'
'-x+1/2,y+1/2,-z'
'x+1/2,-y+1/2,z'
loop_
_atom_site_label
_atom_site_fract_x
_atom_site_fract_y
_atom_site_fract_z
_atom_site_occupancy
Tm1 0.000 0.000 0.000 1
Mg1 0.000 0.000 0.500 1
Mg2 0.103 0.396 0.213 1
Mg3 0.178 0.173 0.354 1
Mg4 0.250 0.250 0.000 1
Al1 0.000 0.500 0.500 1
```

M_tot = 0.0 μB/f.u.
energy of formation from the pure elements = -0.01 eV/atom



# 10
The following is a PBE calculation of LaY2Os after structural relaxation, from Alexandria.

```
data_LaY2Os
_chemical_formula_sum 'La2 Y4 Os2'
_symmetry_space_group_name_H-M 'A m m 2'
_symmetry_Int_Tables_number 38
_cell_length_a 3.630
_cell_length_b 4.434
_cell_length_c 15.129
_cell_angle_alpha 90.00
_cell_angle_beta 90.00
_cell_angle_gamma 90.00
loop_
_symmetry_equiv_pos_as_xyz
'x,y,z'
'-x,-y,z'
'-x,y,z'
'x,-y,z'
'x,y+1/2,z+1/2'
'-x,-y+1/2,z+1/2'
'-x,y+1/2,z+1/2'
'x,-y+1/2,z+1/2'
loop_
_atom_site_label
_atom_site_fract_x
_atom_site_fract_y
_atom_site_fract_z
_atom_site_occupancy
La1 0.000 0.000 0.000 1
Y1 0.000 0.000 0.313 1
Y2 0.500 0.000 0.667 1
Os1 0.500 0.000 0.848 1
```

excess energy over the best structure of this formula in the dataset = 0.221 eV/atom
M_tot = 0.0 μB/f.u.
energy of formation from the pure elements = 0.01 eV/atom



# 11
The following is a PBE calculation of Zn12Cu6Pd after structural relaxation, from Alexandria.

```
data_Zn12Cu6Pd
_chemical_formula_sum 'Zn36 Cu18 Pd3'
_symmetry_space_group_name_H-M 'R -3'
_symmetry_Int_Tables_number 148
_symmetry_space_group_name_Hall '-R 3'
_cell_length_a 9.1174
_cell_length_b 9.1174
_cell_length_c 11.1609
_cell_angle_alpha 90.00
_cell_angle_beta 90.00
_cell_angle_gamma 120.00
loop_
_atom_site_label
_atom_site_fract_x
_atom_site_fract_y
_atom_site_fract_z
_atom_site_occupancy
Zn1 0.0299 0.8426 0.3141 1
Zn2 0.0606 0.2142 0.9131 1
Cu1 0.0155 0.5851 0.1997 1
Pd1 0.0000 0.0000 0.5000 1
```

excess energy over the best structure of this formula in the dataset = 0.023 eV/atom
M_tot = 0.0 μB/f.u.
energy of formation from the pure elements = -0.10 eV/atom



# 12
The following is a PBE calculation of Ga5Ni12B2 after structural relaxation, from Alexandria.

```
data_Ga5Ni12B2
_chemical_formula_sum 'Ga10 Ni24 B4'
_symmetry_space_group_name_H-M 'C 1 2/m 1'
_symmetry_Int_Tables_number 12
_cell_length_a 12.494
_cell_length_b 6.294
_cell_length_c 6.235
_cell_angle_alpha 90.00
_cell_angle_beta 111.63
_cell_angle_gamma 90.00
loop_
_symmetry_equiv_pos_as_xyz
'x,y,z'
'-x,-y,-z'
'-x,y,-z'
'x,-y,z'
'x+1/2,y+1/2,z'
'-x+1/2,-y+1/2,-z'
'-x+1/2,y+1/2,-z'
'x+1/2,-y+1/2,z'
loop_
_atom_site_label
_atom_site_fract_x
_atom_site_fract_y
_atom_site_fract_z
_atom_site_occupancy
Ga1 0.000 0.000 0.000 1
Ga2 0.219 0.000 0.982 1
Ga3 0.226 0.500 0.425 1
Ni1 0.016 0.500 0.311 1
Ni2 0.066 0.000 0.398 1
Ni3 0.113 0.305 0.064 1
Ni4 0.163 0.287 0.688 1
B1 0.000 0.254 0.500 1
```

M_tot = 0.0 μB/f.u.
energy of formation from the pure elements = -0.14 eV/atom



# 13
The following is a PBE calculation of Rb2VBBr6 after structural relaxation, from Alexandria.

```
data_Rb2VBBr6
_chemical_formula_sum 'Rb8 V4 B4 Br24'
_symmetry_space_group_name_H-M 'F m -3 m'
_symmetry_Int_Tables_number 225
_symmetry_space_group_name_Hall '-F 4 2 3'
_cell_length_a 10.574
_cell_length_b 10.574
_cell_length_c 10.574
_cell_angle_alpha 90.00
_cell_angle_beta 90.00
_cell_angle_gamma 90.00
loop_
_atom_site_label
_atom_site_fract_x
_atom_site_fract_y
_atom_site_fract_z
_atom_site_occupancy
Rb1 0.250 0.250 0.250 1
V1 0.000 0.000 0.000 1
B1 0.000 0.000 0.500 1
Br1 0.000 0.000 0.243 1
```

M_tot = 2.0 μB/f.u.
formation energy from raw total energies = -7.11 eV per formula unit



# 14
The following is a PBE calculation of Ti6Sb2Se after structural relaxation, from Alexandria.

```
data_Ti6Sb2Se
_chemical_formula_sum 'Ti6 Sb2 Se1'
_symmetry_space_group_name_H-M 'P -6 2 m'
_symmetry_Int_Tables_number 189
_symmetry_space_group_name_Hall 'P -6 -2'
_cell_length_a 7.2032
_cell_length_b 7.2032
_cell_length_c 3.5836
_cell_angle_alpha 90.00
_cell_angle_beta 90.00
_cell_angle_gamma 120.00
loop_
_atom_site_label
_atom_site_fract_x
_atom_site_fract_y
_atom_site_fract_z
_atom_site_occupancy
Ti1 0.0000 0.3776 0.0000 1
Ti2 0.0000 0.7531 0.5000 1
Sb1 0.3333 0.6667 0.5000 1
Se1 0.0000 0.0000 0.0000 1
```

M_tot = 0.0 μB/f.u.
formation energy from raw total energies = -5.07 eV per formula unit



# 15
The following is a PBE calculation of CsCaCeF6 after structural relaxation, from Alexandria.

```
data_CsCaCeF6
_chemical_formula_sum 'Cs4 Ca4 Ce4 F24'
_symmetry_space_group_name_H-M 'I m m a'
_symmetry_Int_Tables_number 74
_symmetry_space_group_name_Hall '-I 2b 2'
_cell_length_a 8.340
_cell_length_b 8.712
_cell_length_c 12.060
_cell_angle_alpha 90.00
_cell_angle_beta 90.00
_cell_angle_gamma 90.00
loop_
_atom_site_label
_atom_site_fract_x
_atom_site_fract_y
_atom_site_fract_z
_atom_site_occupancy
Cs1 0.000 0.250 0.049 1
Ca1 0.250 0.250 0.750 1
Ce1 0.000 0.000 0.500 1
F1 0.000 0.250 0.427 1
F2 0.000 0.250 0.811 1
F3 0.206 0.069 0.615 1
```

M_tot = 1.0 μB/f.u.
formation energy from raw total energies = -32.98 eV per formula unit



# 16
The following is a PBE calculation of CaOs2Ru after structural relaxation, from Alexandria.

```
data_CaOs2Ru
_chemical_formula_sum 'Ca1 Os2 Ru1'
_symmetry_space_group_name_H-M 'P m m 2'
_symmetry_Int_Tables_number 25
_cell_length_a 2.796
_cell_length_b 3.757
_cell_length_c 6.643
_cell_angle_alpha 90.00
_cell_angle_beta 90.00
_cell_angle_gamma 90.00
loop_
_symmetry_equiv_pos_as_xyz
'x,y,z'
'-x,-y,z'
'-x,y,z'
'x,-y,z'
loop_
_atom_site_label
_atom_site_fract_x
_atom_site_fract_y
_atom_site_fract_z
_atom_site_occupancy
Ca1 0.000 0.000 0.000 1
Os1 0.000 0.000 0.497 1
Os2 0.500 0.500 0.314 1
Ru1 0.500 0.500 0.702 1
```

excess energy over the best structure of this formula in the dataset = 0.050 eV/atom
M_tot = 0.0 μB/f.u.
energy of formation from the pure elements = 0.46 eV/atom



# 17
The following is a PBE calculation of FeRuRh2 after structural relaxation, from Alexandria.

```
data_FeRuRh2
_chemical_formula_sum 'Fe1 Ru1 Rh2'
_symmetry_space_group_name_H-M 'P 4 m m'
_symmetry_Int_Tables_number 99
_cell_length_a 2.697
_cell_length_b 2.697
_cell_length_c 7.431
_cell_angle_alpha 90.00
_cell_angle_beta 90.00
_cell_angle_gamma 90.00
loop_
_symmetry_equiv_pos_as_xyz
'x,y,z'
'-y,x,z'
'-x,-y,z'
'y,-x,z'
'-x,y,z'
'y,x,z'
'x,-y,z'
'-y,-x,z'
loop_
_atom_site_label
_atom_site_fract_x
_atom_site_fract_y
_atom_site_fract_z
_atom_site_occupancy
Fe1 0.000 0.000 0.000 1
Ru1 0.500 0.500 0.760 1
Rh1 0.000 0.000 0.506 1
Rh2 0.500 0.500 0.238 1
```

M_tot = 2.2 μB/f.u.
energy of formation from the pure elements = 0.04 eV/atom



# 18
The following is a PBE calculation of Tb6PrDy3Th2 after structural relaxation, from Alexandria.

```
data_Tb6PrDy3Th2
_chemical_formula_sum 'Tb12 Pr2 Dy6 Th4'
_symmetry_space_group_name_H-M 'C 1 2/m 1'
_symmetry_Int_Tables_number 12
_cell_length_a 6.204
_cell_length_b 10.735
_cell_length_c 11.805
_cell_angle_alpha 90.00
_cell_angle_beta 100.10
_cell_angle_gamma 90.00
loop_
_symmetry_equiv_pos_as_xyz
'x,y,z'
'-x,-y,-z'
'-x,y,-z'
'x,-y,z'
'x+1/2,y+1/2,z'
'-x+1/2,-y+1/2,-z'
'-x+1/2,y+1/2,-z'
'x+1/2,-y+1/2,z'
loop_
_atom_site_label
_atom_site_fract_x
_atom_site_fract_y
_atom_site_fract_z
_atom_site_occupancy
Tb1 0.245 0.000 0.249 1
Tb2 0.247 0.169 0.751 1
Pr1 0.000 0.500 0.000 1
Dy1 0.000 0.000 0.500 1
Dy2 0.000 0.334 0.500 1
Th1 0.000 0.167 0.000 1
```

M_tot = 0.0 μB/f.u.
energy of formation from the pure elements = 0.03 eV/atom



# 19
The following is a PBE calculation of Lu2NiGe after structural relaxation, from Alexandria.

```
data_Lu2NiGe
_chemical_formula_sum 'Lu2 Ni1 Ge1'
_symmetry_space_group_name_H-M 'P 4/m m m'
_symmetry_Int_Tables_number 123
_symmetry_space_group_name_Hall '-P 4 2'
_cell_length_a 3.362
_cell_length_b 3.362
_cell_length_c 6.977
_cell_angle_alpha 90.00
_cell_angle_beta 90.00
_cell_angle_gamma 90.00
loop_
_atom_site_label
_atom_site_fract_x
_atom_site_fract_y
_atom_site_fract_z
_atom_site_occupancy
Lu1 0.000 0.000 0.232 1
Ni1 0.500 0.500 0.000 1
Ge1 0.500 0.500 0.500 1
```

M_tot = 0.0 μB/f.u.
energy of formation from the pure elements = -0.57 eV/atom



# 20
The following is a PBE calculation of Sc2BeTl after structural relaxation, from Alexandria.

```
data_Sc2BeTl
_chemical_formula_sum 'Sc2 Be1 Tl1'
_symmetry_space_group_name_H-M 'P m m 2'
_symmetry_Int_Tables_number 25
_cell_length_a 3.307
_cell_length_b 4.240
_cell_length_c 6.009
_cell_angle_alpha 90.00
_cell_angle_beta 90.00
_cell_angle_gamma 90.00
loop_
_symmetry_equiv_pos_as_xyz
'x,y,z'
'-x,-y,z'
'-x,y,z'
'x,-y,z'
loop_
_atom_site_label
_atom_site_fract_x
_atom_site_fract_y
_atom_site_fract_z
_atom_site_occupancy
Sc1 0.000 0.000 0.000 1
Sc2 0.500 0.500 0.285 1
Be1 0.500 0.500 0.824 1
Tl1 0.000 0.000 0.527 1
```

excess energy over the best structure of this formula in the dataset = 0.314 eV/atom
M_tot = 0.0 μB/f.u.
energy of formation from the pure elements = 0.17 eV/atom